## Mg3SnRh2 (GGA-PBE)

Data for Mg3SnRh2 after structural relaxation.

Its total energy is -4.3522 eV per atom. As for the formation energy: -2.623 eV per formula unit. The value obtained for the density of states at the Fermi level is 0.44 states/eV/atom.

a = 4.4461 Å, b = 9.7733 Å, c = 7.0142 Å
α = 132.01°, β = 90.00°, γ = 103.15°
Positions (direct):
Mg1 0.3137 0.6275 0.5825
Mg2 0.0634 0.1268 0.2874
Mg3 0.6863 0.3725 0.4175
Mg4 0.6060 0.2120 0.6451
Mg5 0.3940 0.7880 0.3549
Mg6 0.9366 0.8732 0.7126
Sn1 0.1482 0.2965 0.9918
Sn2 0.8518 0.7035 0.0082
Rh1 0.5447 0.0894 0.9018
Rh2 0.2354 0.4708 0.8008
Rh3 0.4553 0.9106 0.0982
Rh4 0.7646 0.5292 0.1992


## Ac8PS6 (GGA-PBE)

Data for Ac8PS6 after structural relaxation.

Its total energy is -5.6791 eV per atom. The value obtained for the formation energy from raw total energies is -1.4763 eV/atom. The value obtained for the density of states at the Fermi level is 0.82 states/eV/atom.

a = 4.4139 Å, b = 10.9498 Å, c = 10.9498 Å
α = 120.00°, β = 90.00°, γ = 90.00°
Positions (direct):
Ac1 0.2601 0.0363 0.7147
Ac2 0.7399 0.9637 0.2853
Ac3 0.7399 0.7147 0.6784
Ac4 0.2601 0.6784 0.9637
Ac5 0.2601 0.2853 0.3216
Ac6 0.7485 0.3333 0.6667
Ac7 0.2515 0.6667 0.3333
Ac8 0.7399 0.3216 0.0363
P1 0.5000 0.0000 0.0000
S1 0.2471 0.3559 0.8698
S2 0.2471 0.1302 0.4861
S3 0.7529 0.6441 0.1302
S4 0.2471 0.5139 0.6441
S5 0.7529 0.4861 0.3559
S6 0.7529 0.8698 0.5139